(1)
Computed, not measured: a relaxed KGe2O crystal at the GGA-PBE level of DFT.

abc: 5.129 5.129 8.320
angles: 72.05 72.05 90.00
Fractional positions:
1 Ge 0.375 0.625 0.250
2 Ge 0.375 0.125 0.250
3 Ge 0.375 0.625 0.750
4 Ge 0.875 0.625 0.750
5 O 0.250 0.750 0.500
6 O 0.500 0.500 0.000
7 K 0.750 0.250 0.500
8 K 0.000 0.000 0.000

Summary:
* energy relative to the elements, uncorrected: -207 meV/atom
* density of states at the Fermi level: 3.04 states/eV/f.u.

---

(2)
Computed, not measured: a relaxed SnPHS crystal at the GGA-PBE level of DFT.

abc: 6.786 3.894 6.793
angles: 90.00 109.20 90.00
Fractional positions:
1 P 0.376 0.500 0.616
2 P 0.376 0.000 0.116
3 S 0.946 0.000 0.641
4 S 0.946 0.500 0.141
5 Sn 0.176 0.500 0.883
6 Sn 0.176 0.000 0.383
7 H 0.598 0.000 0.186
8 H 0.598 0.500 0.686

Summary:
* distance to the lowest polymorph of the same formula: 62 meV per atom